VASP calculation (GGA-PBE) on an optimized crystal structure of NaSrTlO2.

```
5
Lattice="4.716 0.000 0.000 0.000 4.716 0.000 0.000 0.000 5.494" Properties=species:S:1:pos:R:3 pbc="T T T"
Na 0.000 0.000 0.000
Sr 0.000 0.000 2.747
Tl 2.358 2.358 0.000
O 0.000 2.358 2.747
O 2.358 0.000 2.747
```

Output
Crystal system: tetragonal
Raw formation energy (kJ/mol of formula units): -242
Symmetry: P4/mmm